NbAl2VFe: optimized geometry, GGA-PBE.

Lattice parameters (Å, degrees): 4.6841 4.4591 4.6841 90.00 90.00 90.00
With the nearest neighbours (Å) after each atom.
Fractional positions:
Nb 0.0000 0.5000 0.0000  2 V 2.23
Al 0.0000 0.0000 0.5000  2 V 2.34
Al 0.5000 0.0000 0.0000  2 V 2.34
Fe 0.5000 0.5000 0.5000  8 Al 3.23, 4 Nb 3.31
V 0.0000 0.0000 0.0000  2 Nb 2.23, 4 Al 2.34

The energy comes out at -6.034 eV/atom. Its energy of formation is 993 meV per atom. For the total moment, the calculation gives 2.80 μB per cell. As for the space-group type: P4/mmm, No. 123.